# 1
Below is crystalline SbPd2Se2 at its relaxed geometry, with properties calculated at the GGA-PBE level.

a b c (Å): 4.954 8.230 11.196
angles (deg): 90.00 90.00 90.00
Atoms (fractional coordinates):
Sb  0.750  0.204  0.587
Sb  0.250  0.296  0.087
Sb  0.250  0.796  0.413
Sb  0.750  0.704  0.913
Pd  0.750  0.422  0.761
Pd  0.250  0.078  0.261
Pd  0.250  0.578  0.239
Pd  0.750  0.922  0.739
Pd  0.750  0.739  0.148
Pd  0.250  0.761  0.648
Pd  0.250  0.261  0.852
Pd  0.750  0.239  0.352
Se  0.750  0.662  0.620
Se  0.250  0.838  0.120
Se  0.250  0.338  0.380
Se  0.750  0.162  0.880
Se  0.750  0.922  0.335
Se  0.250  0.578  0.835
Se  0.250  0.078  0.665
Se  0.750  0.422  0.165

Properties
- M_tot: 0.00 Bohr magnetons per cell
- Energy: -4.498 eV per atom



# 2
Below is crystalline ScWBr at its relaxed geometry, with properties calculated at the GGA-PBE level.

a b c (Å): 4.666 4.666 3.007
angles (deg): 90.00 90.00 120.00
Atoms (fractional coordinates):
Br  0.000  0.000  0.833
Sc  0.333  0.667  0.334
W  0.667  0.333  0.833

Properties
- M_tot: 0.00 Bohr magnetons per cell
- Energy relative to the lowest polymorph listed for this composition: 0.2899 eV/atom



# 3
Below is crystalline YZrPt2 at its relaxed geometry, with properties calculated at the GGA-PBE level.

a b c (Å): 3.997 3.997 6.903
angles (deg): 73.13 73.13 60.24
Atoms (fractional coordinates):
Pt  0.009  0.009  0.974
Pt  0.491  0.491  0.526
Y  0.250  0.250  0.250
Zr  0.750  0.750  0.750

Properties
- ΔH_f (0 K): -92 kJ per mole of atoms
- M_tot: 0.00 Bohr magnetons per cell